# 1
Here is an optimized crystal structure of Mn2AsW from Alexandria via LeMat-Bulk. Energies are from PBE.

a = 6.0022 Å, b = 6.0022 Å, c = 6.0022 Å
α = 90.00°, β = 90.00°, γ = 90.00°
With the nearest neighbours (Å) after each atom.
Space group F-43m (No. 216)
Inequivalent atoms, fractional coordinates:
Mn  0.0000  0.0000  0.0000 (multiplicity 4)  4 Mn 2.60, 4 W 2.60
Mn  0.2500  0.2500  0.2500 (multiplicity 4)  4 As 2.60, 4 Mn 2.60
As  0.0000  0.0000  0.5000 (multiplicity 4)  4 Mn 2.60, 4 W 2.60
W  0.2500  0.2500  0.7500 (multiplicity 4)  4 As 2.60, 4 Mn 2.60

Results
Total energy: -8.795 eV/atom
Crystal system: cubic

=====

# 2
Here is an optimized crystal structure of Ho12CdPd6 from Alexandria via LeMat-Bulk. Energies are from PBE.

a = 9.8992 Å, b = 9.8992 Å, c = 9.8992 Å
α = 90.00°, β = 90.00°, γ = 90.00°
With the nearest neighbours (Å) after each atom.
Space group Im-3 (No. 204)
Inequivalent atoms, fractional coordinates:
Ho  0.0000  0.1828  0.2957 (multiplicity 24)  1 Pd 2.69
Cd  0.0000  0.0000  0.0000 (multiplicity 2)  12 Ho 3.44
Pd  0.0000  0.3627  0.5000 (multiplicity 12)  2 Ho 2.69, 1 Pd 2.72

Results
Energy relative to the lowest polymorph listed for this composition: 0.0 kJ/mol of formula units
Crystal system: cubic

=====

# 3
Here is an optimized crystal structure of LaTe5 from Alexandria via LeMat-Bulk. Energies are from PBE.

a = 11.6829 Å, b = 4.2712 Å, c = 8.6493 Å
α = 90.00°, β = 92.86°, γ = 90.00°
With the nearest neighbours (Å) after each atom.
Space group Cm (No. 8)
Inequivalent atoms, fractional coordinates:
La  0.0000  0.0000  0.0000 (multiplicity 2)  8 Te 3.23-3.46
Te  0.0242  0.0000  0.3892 (multiplicity 2)  2 Te 2.97
Te  0.1092  0.5000  0.6931 (multiplicity 2)  1 Te 2.75
Te  0.2195  0.5000  0.0468 (multiplicity 2)  3 Te 3.26-3.27, 3 La 3.32-3.35
Te  0.3726  0.0000  0.2554 (multiplicity 2)  4 Te 2.97-3.27
Te  0.3819  0.0000  0.7620 (multiplicity 2)  1 Te 2.75

Results
Energy relative to the lowest polymorph listed for this composition: 0.0 kJ/mol of formula units
Raw formation energy: -0.58 eV per atom
Crystal system: monoclinic

=====

# 4
Here is an optimized crystal structure of LaY3Mo from Alexandria via LeMat-Bulk. Energies are from PBE.

a = 5.4052 Å, b = 5.4052 Å, c = 5.4052 Å
α = 90.00°, β = 90.00°, γ = 90.00°
With the nearest neighbours (Å) after each atom.
Space group Pm-3m (No. 221)
Inequivalent atoms, fractional coordinates:
La  0.0000  0.0000  0.0000 (multiplicity 1)  6 Y 2.70
Y  0.0000  0.0000  0.5000 (multiplicity 3)  2 La 2.70
Mo  0.5000  0.5000  0.5000 (multiplicity 1)  12 Y 3.82

Results
Energy relative to the lowest polymorph listed for this composition: 618.7 kJ/mol of formula units
Crystal system: cubic

=====

# 5
Here is an optimized crystal structure of NpMo2N4 from Alexandria via LeMat-Bulk. Energies are from PBE.

a = 3.0854 Å, b = 9.9024 Å, c = 10.2447 Å
α = 90.00°, β = 90.00°, γ = 90.00°
With the nearest neighbours (Å) after each atom.
Space group Cmcm (No. 63)
Inequivalent atoms, fractional coordinates:
Np  0.0000  0.1049  0.2500 (multiplicity 4)  6 N 2.17-2.34
Mo  0.0000  0.3549  0.0594 (multiplicity 8)  6 N 2.10-2.19
N  0.0000  0.0000  0.0000 (multiplicity 4)  4 Mo 2.19
N  0.0000  0.2701  0.6281 (multiplicity 8)  3 Mo 2.10, 2 Np 2.34
N  0.0000  0.4506  0.2500 (multiplicity 4)  2 Mo 2.17, 2 Np 2.17

Results
Raw formation energy: -0.57 eV per atom
Crystal system: orthorhombic

=====

# 6
Here is an optimized crystal structure of AcDy2Ho from Alexandria via LeMat-Bulk. Energies are from PBE.

a = 5.1496 Å, b = 5.1496 Å, c = 5.1728 Å
α = 90.00°, β = 90.00°, γ = 90.00°
With the nearest neighbours (Å) after each atom.
Space group P4/mmm (No. 123)
Inequivalent atoms, fractional coordinates:
Ac  0.0000  0.0000  0.0000 (multiplicity 1)  4 Ho 3.64, 8 Dy 3.65
Dy  0.0000  0.5000  0.5000 (multiplicity 2)  4 Dy 3.64, 4 Ac 3.65, 4 Ho 3.65
Ho  0.5000  0.5000  0.0000 (multiplicity 1)  4 Ac 3.64, 8 Dy 3.65

Results
Energy relative to the lowest polymorph listed for this composition: 0.5 kJ/mol of formula units
Crystal system: tetragonal

=====

# 7
Here is an optimized crystal structure of Ti6InPd8 from Alexandria via LeMat-Bulk. Energies are from PBE.

a = 9.3927 Å, b = 9.3927 Å, c = 3.4367 Å
α = 90.00°, β = 90.00°, γ = 120.00°
With the nearest neighbours (Å) after each atom.
Space group P-3 (No. 147)
Inequivalent atoms, fractional coordinates:
Ti  0.1112  0.4737  0.2632 (multiplicity 6)  5 Pd 2.54-2.61
In  0.0000  0.0000  0.5000 (multiplicity 1)  6 Pd 2.75
Pd  0.0499  0.7527  0.2299 (multiplicity 6)  3 Ti 2.54-2.57, 1 In 2.75
Pd  0.3333  0.6667  0.7633 (multiplicity 2)  6 Ti 2.61

Results
Total energy: -6.378 eV/atom
Crystal system: trigonal

=====

# 8
Here is an optimized crystal structure of Li3CuS2 from Alexandria via LeMat-Bulk. Energies are from PBE.

a = 6.9001 Å, b = 7.9895 Å, c = 7.9733 Å
α = 90.00°, β = 125.28°, γ = 90.00°
With the nearest neighbours (Å) after each atom.
Space group P2_1/c (No. 14)
Inequivalent atoms, fractional coordinates:
Li  0.2442  0.2501  0.3721 (multiplicity 4)  4 S 2.42-2.47
Li  0.2487  0.5046  0.1243 (multiplicity 4)  4 S 2.40-2.49
Li  0.2486  0.5047  0.6245 (multiplicity 4)  4 S 2.40-2.49
Cu  0.2631  0.7494  0.3820 (multiplicity 4)  4 S 2.38-2.49
S  0.0000  0.0001  0.2500 (multiplicity 4)  6 Li 2.42-2.44, 2 Cu 2.48-2.49
S  0.4959  0.7499  0.2481 (multiplicity 4)  2 Cu 2.38-2.39, 6 Li 2.40-2.49

Results
Raw formation energy: -1.02 eV per atom
Crystal system: monoclinic

=====

# 9
Here is an optimized crystal structure of Sc3Si2Rh5 from Alexandria via LeMat-Bulk. Energies are from PBE.

a = 9.5918 Å, b = 9.5918 Å, c = 3.4497 Å
α = 90.00°, β = 90.00°, γ = 90.00°
With the nearest neighbours (Å) after each atom.
Space group P4/mbm (No. 127)
Inequivalent atoms, fractional coordinates:
Sc  0.0000  0.0000  0.0000 (multiplicity 2)  8 Rh 2.76
Sc  0.1720  0.3280  0.0000 (multiplicity 4)  3 Si 2.72-2.90, 6 Rh 2.90-3.04
Si  0.1272  0.6272  0.0000 (multiplicity 4)  6 Rh 2.37-2.44
Rh  0.0000  0.5000  0.5000 (multiplicity 2)  4 Si 2.44
Rh  0.0705  0.7870  0.5000 (multiplicity 8)  2 Si 2.37

Results
Raw formation energy: -1.02 eV per atom
Crystal system: tetragonal

=====

# 10
Here is an optimized crystal structure of TlH2WCl8 from Alexandria via LeMat-Bulk. Energies are from PBE.

a = 6.8384 Å, b = 7.3878 Å, c = 7.8302 Å
α = 71.61°, β = 85.67°, γ = 84.29°
With the nearest neighbours (Å) after each atom.
Space group P-1 (No. 2)
Inequivalent atoms, fractional coordinates:
Tl  0.0000  0.0000  0.0000 (multiplicity 1)  6 Cl 3.22-3.34
H  0.3098  0.2994  0.1694 (multiplicity 2)  1 Cl 1.31
W  0.0000  0.5000  0.5000 (multiplicity 1)  6 Cl 2.30-2.40
Cl  0.1667  0.1932  0.5938 (multiplicity 2)  1 W 2.35
Cl  0.1703  0.5647  0.2109 (multiplicity 2)  1 H 2.20, 1 W 2.40
Cl  0.2475  0.6216  0.6039 (multiplicity 2)  1 W 2.30
Cl  0.3898  0.1427  0.1391 (multiplicity 2)  1 H 1.31

Results
Total energy: -3.842 eV/atom
Crystal system: triclinic

=====

# 11
Here is an optimized crystal structure of BaCSe2 from Alexandria via LeMat-Bulk. Energies are from PBE.

a = 4.1135 Å, b = 4.1135 Å, c = 20.4260 Å
α = 90.00°, β = 90.00°, γ = 120.00°
With the nearest neighbours (Å) after each atom.
Space group R-3m (No. 166, hexagonal axes)
Inequivalent atoms, fractional coordinates:
Ba  0.0000  0.0000  0.0000 (multiplicity 3)  6 Se 3.23
C  0.0000  0.0000  0.5000 (multiplicity 3)  6 Se 2.67
Se  0.0000  0.0000  0.2260 (multiplicity 6)  3 C 2.67

Results
Raw formation energy: 0.56 eV per atom
Crystal system: trigonal

=====

# 12
Here is an optimized crystal structure of Cu2H4Pd5 from Alexandria via LeMat-Bulk. Energies are from PBE.

a = 2.8484 Å, b = 6.7312 Å, c = 7.1625 Å
α = 61.99°, β = 79.11°, γ = 78.08°
With the nearest neighbours (Å) after each atom.
Space group P-1 (No. 2)
Inequivalent atoms, fractional coordinates:
Cu  0.0796  0.2856  0.0863 (multiplicity 2)  1 H 1.75
H  0.1507  0.3696  0.8119 (multiplicity 2)  1 Cu 1.75, 3 Pd 1.79-1.81
H  0.4056  0.1671  0.5307 (multiplicity 2)  4 Pd 1.79-1.87
Pd  0.0000  0.0000  0.5000 (multiplicity 1)  4 H 1.87
Pd  0.2905  0.1006  0.8067 (multiplicity 2)  2 H 1.79
Pd  0.3728  0.4537  0.3196 (multiplicity 2)  3 H 1.80-1.81

Results
Energy relative to the lowest polymorph listed for this composition: 0.0 kJ/mol of formula units
Crystal system: triclinic